1.
Here is RbCaMnAg2 after structural relaxation from Alexandria. Energies are from GGA-PBE.

```
RbCaMnAg2
1.0
5.301 0.000 0.000
0.000 5.301 0.000
0.000 0.000 5.430
Rb Ca Mn Ag
1 1 1 2
Direct
0.000 0.000 0.000
0.500 0.500 0.000
0.500 0.500 0.500
0.000 0.500 0.500
0.500 0.000 0.500
```

Values from the calculation:
Energy of formation from the pure elements: 44.0 kJ/mol of atoms
DFT total energy: -15.56 eV per cell

---

2.
Here is CaMn2AgSe4 after structural relaxation from Alexandria. Energies are from GGA-PBE.

```
CaMn2AgSe4
1.0
1.949 -6.467 0.000
1.949 6.467 0.000
0.000 0.000 14.051
Ca Mn Ag Se
2 4 2 8
Direct
0.148 0.852 0.750
0.852 0.148 0.250
0.377 0.623 0.568
0.377 0.623 0.932
0.623 0.377 0.068
0.623 0.377 0.432
0.144 0.856 0.250
0.856 0.144 0.750
0.000 0.000 0.000
0.000 0.000 0.500
0.262 0.738 0.101
0.262 0.738 0.399
0.485 0.515 0.750
0.515 0.485 0.250
0.738 0.262 0.601
0.738 0.262 0.899
```

Values from the calculation:
DFT total energy: -84.06 eV per cell
Formation energy without anion corrections: -0.61 eV per atom

---

3.
Here is CaMnSi2Ag after structural relaxation from Alexandria. Energies are from GGA-PBE.

```
CaMnSi2Ag
1.0
5.150 0.000 0.000
0.000 5.150 0.000
0.000 0.000 5.084
Ca Mn Si Ag
1 1 2 1
Direct
0.000 0.000 0.000
0.500 0.500 0.500
0.000 0.500 0.000
0.500 0.000 0.000
0.000 0.000 0.500
```

Values from the calculation:
DFT total energy: -14.81 eV per cell
Formation energy without anion corrections: 2.01 eV per atom

---

4.
Here is Ca2MnAgSn after structural relaxation from Alexandria. Energies are from GGA-PBE.

```
Ca2MnAgSn
1.0
5.984 0.000 0.000
0.000 5.984 0.000
0.000 0.000 5.250
Ca Mn Ag Sn
2 1 1 1
Direct
0.000 0.500 0.000
0.500 0.000 0.000
0.000 0.000 0.000
0.000 0.000 0.500
0.500 0.500 0.500
```

Values from the calculation:
Energy of formation from the pure elements: 79.8 kJ/mol of atoms
DFT total energy: -15.89 eV per cell

---

> Look up the DFT total energy of the first one.

-15.56 eV per cell